La3MgGa2 after structural relaxation, computed with PBE.

Summary:
total DFT energy (no corrections): -4.16 eV per atom
calculated density: 5.74 Mg/m³
relative energy among the computed polymorphs: 0.00 eV per formula unit
energy of formation from the pure elements: -0.42 eV/atom
calculated volume: 27.99 A^3/atom
magnetization: 0.00 μB per formula unit

a = 5.4038 Å, b = 5.4038 Å, c = 13.2800 Å
α = 90.00°, β = 90.00°, γ = 120.00°
Space group P-3m1 (No. 164)
Inequivalent atoms, fractional coordinates:
La 0.0000 0.0000 0.2386
La 0.3333 0.6667 0.4192
La 0.3333 0.6667 0.9291
Mg 0.3333 0.6667 0.6735
Ga 0.0000 0.0000 0.0000
Ga 0.0000 0.0000 0.5000
Ga 0.3333 0.6667 0.1788

***

InPbSCl2 after structural relaxation, computed with PBE.

Summary:
total DFT energy (no corrections): -3.35 eV per atom
calculated density: 4.41 Mg/m³
formation energy (no corrections): -0.50 eV per atom
relative energy among the computed polymorphs: 0.00 eV per formula unit
calculated volume: 32.00 A^3/atom
magnetization: 0.00 μB per formula unit

a = 5.593 Å, b = 5.593 Å, c = 5.114 Å
α = 90.00°, β = 90.00°, γ = 90.00°
Space group P4/mmm (No. 123)
Inequivalent atoms, fractional coordinates:
In 0.000 0.000 0.000
Pb 0.500 0.500 0.500
S 0.500 0.500 0.000
Cl 0.000 0.500 0.500

***

TaAl2Se after structural relaxation, computed with PBE.

Summary:
total DFT energy (no corrections): -5.68 eV per atom
calculated density: 7.48 Mg/m³
formation energy (no corrections): 0.03 eV per atom
calculated volume: 17.42 A^3/atom
magnetization: 0.00 μB per formula unit

a = 4.675 Å, b = 4.675 Å, c = 3.188 Å
α = 90.00°, β = 90.00°, γ = 90.00°
Space group P4/mmm (No. 123)
Inequivalent atoms, fractional coordinates:
Ta 0.000 0.000 0.000
Al 0.000 0.500 0.500
Se 0.500 0.500 0.000

***

U2InNi9 after structural relaxation, computed with PBE.

Summary:
total DFT energy (no corrections): -6.62 eV per atom
calculated density: 11.26 Mg/m³
energy of formation from the pure elements: -0.18 eV/atom
calculated volume: 13.75 A^3/atom
magnetization: 2.84 μB per formula unit

a = 4.8247 Å, b = 4.8247 Å, c = 24.5592 Å
α = 90.00°, β = 90.00°, γ = 120.00°
Space group R-3m (No. 166, hexagonal axes)
Inequivalent atoms, fractional coordinates:
U 0.0000 0.0000 0.1400
In 0.0000 0.0000 0.0000
Ni 0.0000 0.0000 0.3327
Ni 0.0000 0.0000 0.5000
Ni 0.0006 0.5003 0.9163

***

BeTe3W after structural relaxation, computed with PBE.

Summary:
total DFT energy (no corrections): -4.06 eV per atom
calculated density: 8.29 Mg/m³
formation energy (no corrections): 1.16 eV per atom
relative energy among the computed polymorphs: 0.53 eV per formula unit
calculated volume: 23.06 A^3/atom
magnetization: 2.62 μB per formula unit

a = 4.867 Å, b = 4.867 Å, c = 4.867 Å
α = 90.00°, β = 90.00°, γ = 90.00°
Space group Pm-3m (No. 221)
Inequivalent atoms, fractional coordinates:
Be 0.000 0.000 0.000
Te 0.000 0.000 0.500
W 0.500 0.500 0.500

***

LaTb2Pm2Nd after structural relaxation, computed with PBE.

Summary:
total DFT energy (no corrections): -4.49 eV per atom
calculated density: 7.06 Mg/m³
energy of formation from the pure elements: 0.25 eV/atom
calculated volume: 34.91 A^3/atom
magnetization: 0.00 μB per formula unit

a = 6.661 Å, b = 18.297 Å, c = 3.438 Å
α = 90.00°, β = 90.00°, γ = 90.00°
Space group Pnnm (No. 58)
Inequivalent atoms, fractional coordinates:
La 0.000 0.000 0.000
Tb 0.217 0.351 0.500
Pm 0.220 0.187 0.000
Nd 0.000 0.500 0.000

***

H2SBr after structural relaxation, computed with PBE.

Summary:
total DFT energy (no corrections): -3.09 eV per atom
calculated density: 2.26 Mg/m³
relative energy among the computed polymorphs: 0.58 eV per formula unit
calculated volume: 20.91 A^3/atom
magnetization: 0.00 μB per formula unit

a = 4.592 Å, b = 4.802 Å, c = 7.589 Å
α = 90.00°, β = 90.00°, γ = 90.00°
Space group Pmn2_1 (No. 31)
Inequivalent atoms, fractional coordinates:
H 0.000 0.015 0.000
H 0.000 0.302 0.182
S 0.000 0.299 0.002
Br 0.000 0.248 0.515

***

ScHg3S after structural relaxation, computed with PBE.

Summary:
total DFT energy (no corrections): -1.77 eV per atom
calculated density: 8.13 Mg/m³
formation energy (no corrections): 0.51 eV per atom
relative energy among the computed polymorphs: 0.00 eV per formula unit
calculated volume: 27.74 A^3/atom
magnetization: 0.79 μB per formula unit

a = 5.176 Å, b = 5.176 Å, c = 5.176 Å
α = 90.00°, β = 90.00°, γ = 90.00°
Space group Pm-3m (No. 221)
Inequivalent atoms, fractional coordinates:
Sc 0.000 0.000 0.000
Hg 0.000 0.500 0.500
S 0.500 0.500 0.500

***

Y3AlS after structural relaxation, computed with PBE.

Summary:
total DFT energy (no corrections): -6.43 eV per atom
calculated density: 4.25 Mg/m³
formation energy (no corrections): -0.98 eV per atom
relative energy among the computed polymorphs: 0.00 eV per formula unit
calculated volume: 25.45 A^3/atom
magnetization: 0.62 μB per formula unit

a = 8.925 Å, b = 3.888 Å, c = 14.671 Å
α = 90.00°, β = 90.00°, γ = 90.00°
Space group Pnma (No. 62)
Inequivalent atoms, fractional coordinates:
Y 0.030 0.250 0.114
Y 0.162 0.250 0.514
Y 0.206 0.750 0.284
Al 0.069 0.750 0.674
S 0.160 0.250 0.947

***

RbInPCl2 after structural relaxation, computed with PBE.

Summary:
total DFT energy (no corrections): -2.53 eV per atom
calculated density: 2.38 Mg/m³
formation energy (no corrections): 0.03 eV per atom
relative energy among the computed polymorphs: 3.42 eV per formula unit
calculated volume: 42.16 A^3/atom
magnetization: 2.97 μB per formula unit

a = 6.050 Å, b = 6.050 Å, c = 5.759 Å
α = 90.00°, β = 90.00°, γ = 90.00°
Space group P4/mmm (No. 123)
Inequivalent atoms, fractional coordinates:
Rb 0.000 0.000 0.000
In 0.500 0.500 0.500
P 0.000 0.000 0.500
Cl 0.000 0.500 0.000

***

LaAuBr3 after structural relaxation, computed with PBE.

Summary:
total DFT energy (no corrections): -3.62 eV per atom
calculated density: 4.75 Mg/m³
formation energy (no corrections): -0.98 eV per atom
calculated volume: 40.22 A^3/atom
magnetization: 0.99 μB per formula unit

a = 5.859 Å, b = 5.859 Å, c = 5.859 Å
α = 90.00°, β = 90.00°, γ = 90.00°
Space group Pm-3m (No. 221)
Inequivalent atoms, fractional coordinates:
La 0.000 0.000 0.000
Au 0.500 0.500 0.500
Br 0.000 0.000 0.500

***

AgMoP2 after structural relaxation, computed with PBE.

Summary:
total DFT energy (no corrections): -6.19 eV per atom
calculated density: 6.74 Mg/m³
relative energy among the computed polymorphs: 0.00 eV per formula unit
energy of formation from the pure elements: -0.06 eV/atom
calculated volume: 16.36 A^3/atom
magnetization: 0.00 μB per formula unit

a = 3.0915 Å, b = 3.0915 Å, c = 23.7228 Å
α = 90.00°, β = 90.00°, γ = 120.00°
Space group R-3m (No. 166, hexagonal axes)
Inequivalent atoms, fractional coordinates:
Ag 0.0000 0.0000 0.0000
Mo 0.0000 0.0000 0.5000
P 0.0000 0.0000 0.2385